# 1
Compound: BaZn2Hg
Source: Alexandria via LeMat-Bulk
Functional: PBE
Structure: relaxed

Calculated values
Energy relative to the elements in eV/atom: -0.158

Cell lengths 3.996, 4.357, 6.628 Å; angles 90.00, 107.28, 90.00 degrees
Space group Pm (No. 6)
One atom of each set of equivalent atoms:
Ba (0.000, 0.000, 0.000) x1
Zn (0.283, 0.000, 0.528) x1
Zn (0.358, 0.500, 0.722) x1
Hg (0.689, 0.500, 0.367) x1

---

# 2
Compound: Cs2BeAlBr6
Source: Alexandria via LeMat-Bulk
Functional: PBE
Structure: relaxed

Calculated values
Formation energy from raw total energies in kcal/mol of atoms: -25.361

Cell lengths 7.410, 7.410, 11.045 Å; angles 90.00, 90.00, 90.00 degrees
Space group I4/mmm (No. 139)
One atom of each set of equivalent atoms:
Cs (0.000, 0.500, 0.250) x4
Be (0.000, 0.000, 0.000) x2
Al (0.000, 0.000, 0.500) x2
Br (0.000, 0.000, 0.263) x4
Br (0.233, 0.233, 0.000) x8

---

# 3
Compound: YTcGe2
Source: Alexandria via LeMat-Bulk
Functional: PBE
Structure: relaxed

Calculated values
Energy relative to the elements in eV/atom: -0.028

Cell lengths 4.684, 4.684, 16.693 Å; angles 90.00, 90.00, 90.00 degrees
Space group I-42d (No. 122)
One atom of each set of equivalent atoms:
Y (0.000, 0.000, 0.000) x4
Tc (0.000, 0.000, 0.500) x4
Ge (0.102, 0.250, 0.625) x8

---

# 4
Compound: SrAlIr
Source: Alexandria via LeMat-Bulk
Functional: PBE
Structure: relaxed

Calculated values
Energy relative to the elements in eV/atom: -0.613

Cell lengths 4.260, 4.260, 7.564 Å; angles 90.00, 90.00, 90.00 degrees
Space group P4/nmm (No. 129, origin choice 2)
One atom of each set of equivalent atoms:
Sr (0.250, 0.250, 0.158) x2
Al (0.250, 0.750, 0.500) x2
Ir (0.250, 0.250, 0.682) x2

---

- Number 2 is which compound?
  Cs2BeAlBr6